{
  "formula": "Li2MgAg",
  "functional": "PBE",
  "state": "optimized geometry",
  "cell": [[0.000, 3.291, 3.291], [3.291, 0.000, 3.291], [3.291, 3.291, 0.000]],
  "species": ["Li", "Li", "Mg", "Ag"],
  "frac_coords": [[0.000, 0.000, 0.000], [0.250, 0.250, 0.250], [0.500, 0.500, 0.500], [0.750, 0.750, 0.750]],
  "delta_e_f_kj_per_mol_fu": -70,
  "total_energy_ev_per_cell": -9.00
}